A plane-wave DFT calculation with PBE was carried out for crystalline Sm8Sn2C at its relaxed geometry.

Cell lengths 18.279, 5.478, 6.470 Å; angles 90.00, 109.02, 90.00 degrees
Space group C2/m (No. 12)
Asymmetric unit:
Sm  0.002  0.000  0.240 (multiplicity 4)
Sm  0.081  0.500  0.759 (multiplicity 4)
Sm  0.130  0.500  0.301 (multiplicity 4)
Sm  0.223  0.000  0.155 (multiplicity 4)
Sn  0.171  0.000  0.623 (multiplicity 4)
C  0.000  0.500  0.000 (multiplicity 2)

Output
- ΔH_f (0 K): -0.1974 eV/atom
- Size of the total moment: 0.0 μB/cell
- VASP energy: -5.20 eV per atom